The following is a DFT calculation (PBE) of a relaxed structure of Mg2TaOs.

Structure (CIF):
```
data_Mg2TaOs
_chemical_formula_sum 'Mg2 Ta1 Os1'
_space_group_name_H-M_alt 'P 4/m m m'
_space_group_IT_number 123
_space_group_name_Hall '-P 4 2'
_cell_length_a 3.8401
_cell_length_b 3.8401
_cell_length_c 4.6249
_cell_angle_alpha 90.00
_cell_angle_beta 90.00
_cell_angle_gamma 90.00
loop_
_atom_site_label
_atom_site_type_symbol
_atom_site_fract_x
_atom_site_fract_y
_atom_site_fract_z
Mg1 Mg 0.0000 0.5000 0.0000
Ta1 Ta 0.0000 0.0000 0.5000
Os1 Os 0.5000 0.5000 0.5000
```

Offset from the most stable computed form = 0.50 eV per formula unit
DFT total energy = -25.86 eV per formula unit
Formation energy from the elements = 0.103 eV/atom

=====

The following is a DFT calculation (PBE) of a relaxed structure of Mg2TaOs.

Structure (CIF):
```
data_Mg2TaOs
_chemical_formula_sum 'Mg2 Ta1 Os1'
_space_group_name_H-M_alt 'P 4/m m m'
_space_group_IT_number 123
_space_group_name_Hall '-P 4 2'
_cell_length_a 3.4532
_cell_length_b 3.4532
_cell_length_c 5.6993
_cell_angle_alpha 90.00
_cell_angle_beta 90.00
_cell_angle_gamma 90.00
loop_
_atom_site_label
_atom_site_type_symbol
_atom_site_fract_x
_atom_site_fract_y
_atom_site_fract_z
Mg1 Mg 0.0000 0.0000 0.2315
Ta1 Ta 0.5000 0.5000 0.5000
Os1 Os 0.5000 0.5000 0.0000
```

Offset from the most stable computed form = 2.06 eV per formula unit
DFT total energy = -24.30 eV per formula unit
Formation energy from the elements = 0.493 eV/atom

=====

The following is a DFT calculation (PBE) of a relaxed structure of Mg2TaOs2.

Structure (CIF):
```
data_Mg2TaOs2
_chemical_formula_sum 'Mg4 Ta2 Os4'
_space_group_name_H-M_alt 'I 4/m m m'
_space_group_IT_number 139
_space_group_name_Hall '-I 4 2'
_cell_length_a 3.4318
_cell_length_b 3.4318
_cell_length_c 14.2371
_cell_angle_alpha 90.00
_cell_angle_beta 90.00
_cell_angle_gamma 90.00
loop_
_atom_site_label
_atom_site_type_symbol
_atom_site_fract_x
_atom_site_fract_y
_atom_site_fract_z
Mg1 Mg 0.0000 0.5000 0.2500
Ta1 Ta 0.0000 0.0000 0.0000
Os1 Os 0.0000 0.0000 0.4015
```

Offset from the most stable computed form = 1.23 eV per formula unit
DFT total energy = -35.13 eV per formula unit
Formation energy from the elements = 0.475 eV/atom